VASP calculation (PBE) on a relaxed structure of PuCdIn6.

Cell lengths 6.645, 6.645, 4.952 Å; angles 90.00, 90.00, 108.55 degrees
Atoms (fractional coordinates):
Pu 0.000 0.000 0.000
Cd 0.500 0.500 0.000
In 0.000 0.500 0.000
In 0.214 0.786 0.500
In 0.289 0.289 0.500
In 0.500 0.000 0.000
In 0.711 0.711 0.500
In 0.786 0.214 0.500

Computed properties:
- space-group type = Cmmm

***

VASP calculation (PBE) on a relaxed structure of PuCd2In3.

Cell lengths 8.157, 8.157, 6.539 Å; angles 101.76, 101.76, 47.20 degrees
Atoms (fractional coordinates):
Pu 0.235 0.765 0.750
Pu 0.765 0.235 0.250
Cd 0.340 0.341 0.922
Cd 0.341 0.340 0.422
Cd 0.659 0.660 0.578
Cd 0.660 0.659 0.078
In 0.163 0.166 0.081
In 0.166 0.163 0.581
In 0.265 0.735 0.250
In 0.735 0.265 0.750
In 0.834 0.837 0.419
In 0.837 0.834 0.919

Computed properties:
- space-group type = C2/c

***

VASP calculation (PBE) on a relaxed structure of PuCd6In5.

Cell lengths 7.415, 7.415, 5.625 Å; angles 97.98, 97.98, 82.48 degrees
Atoms (fractional coordinates):
Pu 0.000 0.000 0.000
Cd 0.084 0.417 0.246
Cd 0.246 0.246 0.741
Cd 0.417 0.084 0.246
Cd 0.583 0.916 0.754
Cd 0.754 0.754 0.259
Cd 0.916 0.583 0.754
In 0.177 0.823 0.500
In 0.338 0.662 0.000
In 0.500 0.500 0.500
In 0.662 0.338 0.000
In 0.823 0.177 0.500

Computed properties:
- space-group type = C2/m

***

VASP calculation (PBE) on a relaxed structure of PuCd4In15.

Cell lengths 4.667, 4.667, 23.860 Å; angles 90.00, 90.00, 90.00 degrees
Atoms (fractional coordinates):
Pu 0.000 0.000 0.000
Cd 0.000 0.000 0.194
Cd 0.000 0.000 0.400
Cd 0.000 0.000 0.600
Cd 0.000 0.000 0.806
In 0.000 0.500 0.099
In 0.000 0.500 0.298
In 0.000 0.500 0.500
In 0.000 0.500 0.702
In 0.000 0.500 0.901
In 0.500 0.000 0.099
In 0.500 0.000 0.298
In 0.500 0.000 0.500
In 0.500 0.000 0.702
In 0.500 0.000 0.901
In 0.500 0.500 0.000
In 0.500 0.500 0.200
In 0.500 0.500 0.401
In 0.500 0.500 0.599
In 0.500 0.500 0.800

Computed properties:
- space-group type = P4/mmm

***

VASP calculation (PBE) on a relaxed structure of PuCdInRh.

Cell lengths 4.943, 4.943, 4.943 Å; angles 60.00, 60.00, 60.00 degrees
Atoms (fractional coordinates):
Pu 0.000 0.000 0.000
Cd 0.750 0.750 0.750
In 0.500 0.500 0.500
Rh 0.250 0.250 0.250

Computed properties:
- space-group type = F-43m
- energy above the most stable polymorph in this dataset (meV per atom) = 83

***

VASP calculation (PBE) on a relaxed structure of PuCdInRh.

Cell lengths 3.241, 3.241, 8.234 Å; angles 90.00, 90.00, 90.00 degrees
Atoms (fractional coordinates):
Pu 0.000 0.000 0.000
Cd 0.500 0.500 0.700
In 0.000 0.000 0.424
Rh 0.500 0.500 0.226

Computed properties:
- space-group type = P4mm
- energy above the most stable polymorph in this dataset (meV per atom) = 0

***

no.,formation enthalpy at 0 K (eV/atom),N(E_F) (states/eV/atom)
1,-0.064,1.375
2,-0.044,2.362
3,0.008,1.345
4,-0.010,1.000
5,-0.134,2.388
6,-0.216,2.060